Below is an optimized crystal structure of Rb3Cd, with properties calculated at the PBE-GGA level.

Results
The density of states at the Fermi level comes out at 2.248 states/eV/f.u. Its energy of formation from the pure elements is 0.09 eV/f.u. As for the spin magnetization: 0.00 μB per cell. As for the energy above the most stable polymorph in this dataset: 0.10 eV per formula unit.

Cell lengths 5.0555, 13.1881, 8.1539 Å; angles 90.00, 90.00, 90.00 degrees
Space group Imm2 (No. 44)
Asymmetric unit:
Rb 0.0000 0.0000 0.0000 (multiplicity 2)
Rb 0.0000 0.1933 0.4708 (multiplicity 4)
Cd 0.0000 0.5000 0.1500 (multiplicity 2)